No. 1
{"formula": "TaAg2F8", "functional": "GGA-PBE", "state": "optimized geometry", "crystal_system": "triclinic", "space_group": "P-1", "dos_at_fermi_per_ev_atom": 0.2856, "e_form_raw_mev_per_atom": -2282, "cell": [[4.5010, 0.0000, 0.0000], [0.2070, 6.4472, 0.0000], [0.1548, 1.6465, 6.3265]], "species": ["Ta", "Ag", "Ag", "F", "F", "F", "F", "F", "F", "F", "F"], "frac_coords": [[0.0000, 0.0000, 0.0000], [0.2638, 0.3767, 0.3797], [0.7362, 0.6233, 0.6203], [0.2392, 0.0940, 0.7483], [0.2392, 0.6033, 0.5992], [0.2405, 0.7428, 0.0894], [0.2410, 0.1509, 0.1546], [0.7590, 0.8491, 0.8454], [0.7595, 0.2572, 0.9106], [0.7608, 0.3967, 0.4008], [0.7608, 0.9060, 0.2517]]}



No. 2
{"formula": "TaAg3F", "functional": "GGA-PBE", "state": "optimized geometry", "crystal_system": "cubic", "e_above_lowest_polymorph_mev_per_atom": 664, "space_group": "Pm-3m", "dos_at_fermi_per_ev_atom": 1.1602, "e_form_raw_mev_per_atom": 1328, "cell": [[5.2384, 0.0000, 0.0000], [0.0000, 5.2384, 0.0000], [0.0000, 0.0000, 5.2384]], "species": ["Ta", "Ag", "Ag", "Ag", "F"], "frac_coords": [[0.0000, 0.0000, 0.0000], [0.0000, 0.0000, 0.5000], [0.0000, 0.5000, 0.0000], [0.5000, 0.0000, 0.0000], [0.5000, 0.5000, 0.5000]]}



No. 3
{"formula": "TaAg3F8", "functional": "GGA-PBE", "state": "optimized geometry", "crystal_system": "orthorhombic", "space_group": "C222", "dos_at_fermi_per_ev_atom": 0.0000, "e_form_raw_mev_per_atom": -2089, "cell": [[3.0274, -5.3624, 0.0000], [3.0274, 5.3624, 0.0000], [0.0000, 0.0000, 7.9457]], "species": ["Ta", "Ag", "Ag", "Ag", "F", "F", "F", "F", "F", "F", "F", "F"], "frac_coords": [[0.0000, 0.0000, 0.0000], [0.0000, 0.0000, 0.5000], [0.0000, 0.5000, 0.2912], [0.5000, 0.0000, 0.7088], [0.1809, 0.8191, 0.0000], [0.1990, 0.8010, 0.5000], [0.2088, 0.2384, 0.1716], [0.2384, 0.2088, 0.8284], [0.7616, 0.7912, 0.8284], [0.7912, 0.7616, 0.1716], [0.8010, 0.1990, 0.5000], [0.8191, 0.1809, 0.0000]]}



No. 4
{"formula": "Ta2AgF12", "functional": "GGA-PBE", "state": "optimized geometry", "crystal_system": "triclinic", "space_group": "P-1", "e_form_raw_mev_per_atom": -2821, "cell": [[5.4093, 0.0000, 0.0000], [2.5537, 5.0656, 0.0000], [0.3708, 2.2955, 9.0402]], "species": ["Ta", "Ta", "Ag", "F", "F", "F", "F", "F", "F", "F", "F", "F", "F", "F", "F"], "frac_coords": [[0.2228, 0.0117, 0.2291], [0.7772, 0.9883, 0.7709], [0.0000, 0.5000, 0.5000], [0.1634, 0.7718, 0.7727], [0.1856, 0.7630, 0.4182], [0.1962, 0.7766, 0.1270], [0.2482, 0.2303, 0.3670], [0.2785, 0.2359, 0.0633], [0.3869, 0.2024, 0.7116], [0.6131, 0.7976, 0.2884], [0.7215, 0.7641, 0.9367], [0.7518, 0.7697, 0.6330], [0.8038, 0.2234, 0.8730], [0.8144, 0.2370, 0.5818], [0.8366, 0.2282, 0.2273]]}



No. 5
{"formula": "TaAg3F", "functional": "GGA-PBE", "state": "optimized geometry", "crystal_system": "cubic", "e_above_lowest_polymorph_mev_per_atom": 0, "space_group": "Pm-3m", "dos_at_fermi_per_ev_atom": 0.7161, "e_form_raw_mev_per_atom": 663, "cell": [[4.5491, 0.0000, 0.0000], [0.0000, 4.5491, 0.0000], [0.0000, 0.0000, 4.5491]], "species": ["Ta", "Ag", "Ag", "Ag", "F"], "frac_coords": [[0.0000, 0.0000, 0.0000], [0.0000, 0.5000, 0.5000], [0.5000, 0.0000, 0.5000], [0.5000, 0.5000, 0.0000], [0.5000, 0.5000, 0.5000]]}



No. 6
{"formula": "TaAgF2", "functional": "GGA-PBE", "state": "optimized geometry", "crystal_system": "cubic", "space_group": "Fm-3m", "dos_at_fermi_per_ev_atom": 0.8581, "e_form_raw_mev_per_atom": -292, "cell": [[0.0000, 3.0127, 3.0127], [3.0127, 0.0000, 3.0127], [3.0127, 3.0127, 0.0000]], "species": ["Ta", "Ag", "F", "F"], "frac_coords": [[0.0000, 0.0000, 0.0000], [0.5000, 0.5000, 0.5000], [0.2500, 0.2500, 0.2500], [0.7500, 0.7500, 0.7500]]}



No. 7
{"formula": "TaTiAg2F", "functional": "GGA-PBE", "state": "optimized geometry", "crystal_system": "tetragonal", "e_above_lowest_polymorph_mev_per_atom": 116, "space_group": "P4/mmm", "dos_at_fermi_per_ev_atom": 1.1625, "e_form_raw_mev_per_atom": 266, "cell": [[5.1762, 0.0000, 0.0000], [0.0000, 5.1762, 0.0000], [0.0000, 0.0000, 3.6492]], "species": ["Ta", "Ti", "Ag", "Ag", "F"], "frac_coords": [[0.0000, 0.0000, 0.0000], [0.5000, 0.5000, 0.5000], [0.0000, 0.5000, 0.5000], [0.5000, 0.0000, 0.5000], [0.5000, 0.5000, 0.0000]]}



No. 8
{"formula": "TaTiAg2F", "functional": "GGA-PBE", "state": "optimized geometry", "crystal_system": "tetragonal", "e_above_lowest_polymorph_mev_per_atom": 0, "space_group": "P4/mmm", "dos_at_fermi_per_ev_atom": 1.1490, "e_form_raw_mev_per_atom": 150, "cell": [[4.8227, 0.0000, 0.0000], [0.0000, 4.8227, 0.0000], [0.0000, 0.0000, 3.8036]], "species": ["Ta", "Ti", "Ag", "Ag", "F"], "frac_coords": [[0.0000, 0.0000, 0.0000], [0.5000, 0.5000, 0.0000], [0.0000, 0.5000, 0.5000], [0.5000, 0.0000, 0.5000], [0.5000, 0.5000, 0.5000]]}



No. 9
{"formula": "YTaAgF2", "functional": "GGA-PBE", "state": "optimized geometry", "crystal_system": "tetragonal", "space_group": "P4/mmm", "dos_at_fermi_per_ev_atom": 0.9228, "e_form_raw_mev_per_atom": -1092, "cell": [[4.1978, 0.0000, 0.0000], [0.0000, 4.1978, 0.0000], [0.0000, 0.0000, 6.8078]], "species": ["Y", "Ta", "Ag", "F", "F"], "frac_coords": [[0.0000, 0.0000, 0.0000], [0.0000, 0.0000, 0.5000], [0.5000, 0.5000, 0.5000], [0.0000, 0.5000, 0.0000], [0.5000, 0.0000, 0.0000]]}



No. 10
{"formula": "Ta2ZnAgF", "functional": "GGA-PBE", "state": "optimized geometry", "crystal_system": "tetragonal", "space_group": "P4/mmm", "dos_at_fermi_per_ev_atom": 1.1398, "e_form_raw_mev_per_atom": 1412, "cell": [[5.1053, 0.0000, 0.0000], [0.0000, 5.1053, 0.0000], [0.0000, 0.0000, 3.9925]], "species": ["Ta", "Ta", "Zn", "Ag", "F"], "frac_coords": [[0.0000, 0.5000, 0.0000], [0.5000, 0.0000, 0.0000], [0.0000, 0.0000, 0.5000], [0.5000, 0.5000, 0.0000], [0.5000, 0.5000, 0.5000]]}



No. 11
{"formula": "Tb2AgF8", "functional": "GGA-PBE", "state": "optimized geometry", "crystal_system": "monoclinic", "space_group": "C2/m", "e_form_raw_mev_per_atom": -3226, "cell": [[3.4301, -5.0074, 0.0000], [3.4301, 5.0074, 0.0000], [-1.3595, 0.0000, 4.3044]], "species": ["Tb", "Tb", "Ag", "F", "F", "F", "F", "F", "F", "F", "F"], "frac_coords": [[0.1892, 0.8108, 0.0000], [0.8108, 0.1892, 0.0000], [0.5000, 0.5000, 0.5000], [0.1452, 0.1452, 0.2939], [0.1519, 0.4269, 0.8887], [0.2854, 0.7146, 0.5000], [0.4269, 0.1519, 0.8887], [0.5731, 0.8481, 0.1113], [0.7146, 0.2854, 0.5000], [0.8481, 0.5731, 0.1113], [0.8548, 0.8548, 0.7061]]}



No. 12
{"formula": "TbAgF4", "functional": "GGA-PBE", "state": "optimized geometry", "crystal_system": "tetragonal", "e_above_lowest_polymorph_mev_per_atom": 0, "space_group": "I4_1md", "dos_at_fermi_per_ev_atom": 0.0000, "e_form_raw_mev_per_atom": -3028, "cell": [[-3.7617, 3.7617, 3.8159], [3.7617, -3.7617, 3.8159], [3.7617, 3.7617, -3.8159]], "species": ["Tb", "Tb", "Ag", "Ag", "F", "F", "F", "F", "F", "F", "F", "F"], "frac_coords": [[0.0000, 0.0000, 0.0000], [0.7500, 0.2500, 0.5000], [0.2336, 0.7336, 0.5000], [0.4836, 0.4836, 0.0000], [0.1524, 0.4525, 0.6999], [0.2025, 0.0027, 0.8001], [0.2025, 0.4024, 0.1999], [0.3278, 0.0309, 0.2969], [0.7340, 0.0309, 0.7031], [0.7527, 0.4525, 0.3001], [0.7809, 0.5778, 0.7969], [0.7809, 0.9840, 0.2031]]}